Run 1
Density functional theory data (PBE) for an optimized crystal structure of YAuF2.

Values from the calculation:
The total moment comes out at 0.00 μB/cell. As for the symmetry: No. 225. The value obtained for the volume is 62.6 Å³/cell.

abc: 4.4563 4.4563 4.4563
angles: 60.00 60.00 60.00
Fractional coordinates of all 4 atoms:
Y 0.0000 0.0000 0.0000
Au 0.5000 0.5000 0.5000
F 0.2500 0.2500 0.2500
F 0.7500 0.7500 0.7500

---

Run 2
Density functional theory data (PBE) for an optimized crystal structure of YAuF2.

Values from the calculation:
The total moment comes out at 0.00 μB/cell. As for the symmetry: No. 166. The value obtained for the volume is 85.0 Å³/cell.

abc: 9.7770 9.7770 9.7770
angles: 18.82 18.82 18.82
Fractional coordinates of all 4 atoms:
Y 0.5000 0.5000 0.5000
Au 0.0000 0.0000 0.0000
F 0.8806 0.8806 0.8806
F 0.1194 0.1194 0.1194

---

Run 3
Density functional theory data (PBE) for an optimized crystal structure of YAuF2.

Values from the calculation:
The total moment comes out at 0.00 μB/cell. As for the symmetry: No. 141. The value obtained for the volume is 176.0 Å³/cell.

abc: 5.0316 5.0316 7.8105
angles: 71.21 71.21 90.00
Fractional coordinates of all 8 atoms:
Y 0.5000 0.5000 0.0000
Y 0.2500 0.7500 0.5000
Au 0.0000 0.0000 0.0000
Au 0.7500 0.2500 0.5000
F 0.3745 0.1250 0.2500
F 0.3755 0.6250 0.2500
F 0.3750 0.6255 0.7500
F 0.8750 0.6245 0.7500

---

Run 4
Density functional theory data (PBE) for an optimized crystal structure of YAuF2.

Values from the calculation:
The total moment comes out at 0.00 μB/cell. As for the symmetry: No. 166. The value obtained for the volume is 86.0 Å³/cell.

abc: 8.8836 8.8836 8.8836
angles: 21.97 21.97 21.97
Fractional coordinates of all 4 atoms:
Y 0.0000 0.0000 0.0000
Au 0.5000 0.5000 0.5000
F 0.9205 0.9205 0.9205
F 0.0795 0.0795 0.0795

---

Relative energies, meV/atom: run 1 339; run 2 317; run 3 0; run 4 990.